The following is a DFT calculation (PBE) of an optimized crystal structure of LiGe2SbF.

Cell lengths 4.5553, 4.5553, 4.8456 Å; angles 90.00, 90.00, 90.00 degrees
With the nearest neighbours (Å) after each atom.
Space group P4/mmm (No. 123)
Unique sites:
Li1 0.0000 0.0000 0.0000 x1  4 Ge 2.28, 2 Sb 2.42
Ge1 0.0000 0.5000 0.0000 x2  2 Li 2.28
Sb1 0.0000 0.0000 0.5000 x1  2 Li 2.42
F1 0.5000 0.5000 0.5000 x1  4 Sb 3.22, 8 Ge 3.33

Values from the calculation:
VASP energy = -16.66 eV per cell

=====

The following is a DFT calculation (PBE) of an optimized crystal structure of K2PbAu.

Cell lengths 5.0218, 5.1483, 12.2810 Å; angles 90.00, 90.00, 90.00 degrees
With the nearest neighbours (Å) after each atom.
Space group Amm2 (No. 38)
Unique sites:
K1 0.0000 0.0000 0.0000 x2  3 Pb 3.56-3.68, 4 Au 3.81
K2 0.5000 0.0000 0.3008 x2  3 Au 3.55-3.69, 4 Pb 3.80
Pb1 0.0000 0.0000 0.7001 x2  2 Au 2.79
Au1 0.5000 0.0000 0.6014 x2  2 Pb 2.79

Values from the calculation:
Formation enthalpy at 0 K = -0.2060 eV/atom

=====

The following is a DFT calculation (PBE) of an optimized crystal structure of LaCePrTl.

Cell lengths 7.9306, 7.9306, 7.9306 Å; angles 90.00, 90.00, 90.00 degrees
With the nearest neighbours (Å) after each atom.
Space group F-43m (No. 216)
Unique sites:
La1 0.0000 0.0000 0.0000 x4  4 Tl 3.43, 4 Ce 3.43
Ce1 0.2500 0.2500 0.2500 x4  4 La 3.43, 4 Pr 3.43
Pr1 0.0000 0.0000 0.5000 x4  4 Tl 3.43, 4 Ce 3.43
Tl1 0.2500 0.2500 0.7500 x4  4 La 3.43, 4 Pr 3.43

Values from the calculation:
Formation enthalpy at 0 K = -0.0184 eV/atom

=====

The following is a DFT calculation (PBE) of an optimized crystal structure of NdSiP.

Cell lengths 9.7199, 4.1627, 8.2518 Å; angles 90.00, 119.09, 90.00 degrees
With the nearest neighbours (Å) after each atom.
Space group C2/m (No. 12)
Unique sites:
Nd1 0.0592 0.0000 0.2853 x4  4 P 2.81-2.92
Si1 0.1852 0.5000 0.0168 x4  1 P 2.25
P1 0.2238 0.0000 0.6755 x4  1 Si 2.25

Values from the calculation:
VASP energy = -71.12 eV per cell

=====

The following is a DFT calculation (PBE) of an optimized crystal structure of Cs2MgAlCl6.

Cell lengths 7.3059, 7.3059, 10.3477 Å; angles 90.00, 90.00, 90.00 degrees
With the nearest neighbours (Å) after each atom.
Space group I4/mmm (No. 139)
Unique sites:
Cs1 0.0000 0.5000 0.2500 x4  12 Cl 3.65-3.66
Mg1 0.0000 0.0000 0.0000 x2  6 Cl 2.60
Al1 0.0000 0.0000 0.5000 x2  6 Cl 2.57
Cl1 0.0000 0.0000 0.2513 x4  1 Al 2.57, 1 Mg 2.60
Cl2 0.2488 0.2488 0.5000 x8  1 Al 2.57, 1 Mg 2.60

Values from the calculation:
VASP energy = -68.98 eV per cell

=====

The following is a DFT calculation (PBE) of an optimized crystal structure of CeTm3Au4.

Cell lengths 5.0447, 5.0447, 25.3541 Å; angles 90.00, 90.00, 120.00 degrees
With the nearest neighbours (Å) after each atom.
Space group R-3m (No. 166, hexagonal axes)
Unique sites:
Ce1 0.0000 0.0000 0.0000 x3  8 Au 3.16-3.24
Tm1 0.0000 0.0000 0.2488 x6  8 Au 3.05-3.38
Tm2 0.0000 0.0000 0.5000 x3  8 Au 2.99-3.07
Au1 0.0000 0.0000 0.1280 x6  7 Tm 3.06-3.11, 1 Ce 3.24
Au2 0.0000 0.0000 0.3820 x6  4 Tm 2.99-3.05, 3 Ce 3.16

Values from the calculation:
Formation enthalpy at 0 K = -0.8025 eV/atom

=====

The following is a DFT calculation (PBE) of an optimized crystal structure of BaBePb2.

Cell lengths 4.3049, 4.7315, 12.4930 Å; angles 90.00, 90.00, 90.00 degrees
With the nearest neighbours (Å) after each atom.
Space group Imm2 (No. 44)
Unique sites:
Ba1 0.0000 0.0000 0.0000 x2  6 Pb 3.52-3.56, 4 Be 3.84-3.87
Be1 0.0000 0.5000 0.7579 x2  2 Pb 2.60
Pb1 0.0000 0.0000 0.3744 x2  2 Be 2.60
Pb2 0.0000 0.5000 0.2092 x2  2 Pb 3.14, 4 Be 3.26

Values from the calculation:
Formation enthalpy at 0 K = 0.0866 eV/atom

=====

The following is a DFT calculation (PBE) of an optimized crystal structure of La3Si2SnPt9.

Cell lengths 6.4891, 6.4891, 9.2333 Å; angles 90.00, 90.00, 120.00 degrees
With the nearest neighbours (Å) after each atom.
Space group P-3m1 (No. 164)
Unique sites:
La1 0.0000 0.0000 0.0000 x1  12 Pt 2.98-3.24
La2 0.3333 0.6667 0.7199 x2  9 Pt 3.19-3.25
Si1 0.3333 0.6667 0.1753 x2  6 Pt 2.29-2.48
Sn1 0.0000 0.0000 0.5000 x1  6 Pt 2.67
Pt1 0.0000 0.5000 0.0000 x3  2 Si 2.48
Pt2 0.1452 0.2903 0.2707 x6  1 Si 2.29

Values from the calculation:
VASP energy = -95.76 eV per cell